Entry 1:
Material: Cu2Au
Method: DFT, PBE
State: optimized geometry

Summary:
V   14.17 Å³/atom
E above lowest polymorph   0.165 eV/f.u.
E_form   0.018 eV per atom
Total magnetic moment   0.00 μB/atom

abc: 4.239 4.239 2.732
angles: 90.00 90.00 120.00
Fractional coordinates of all 3 atoms:
Cu: 0.333 0.667 0.420
Cu: 0.667 0.333 0.580
Au: 0.000 0.000 0.000

***

Entry 2:
Material: DyAlCr2S6
Method: DFT, PBE
State: optimized geometry

Summary:
V   19.07 Å³/atom
Total DFT energy (no corrections)   -6.28 eV per atom
Total magnetic moment   0.60 μB/atom

abc: 6.676 6.676 6.676
angles: 55.96 55.96 55.96
Fractional coordinates of all 10 atoms:
Dy: 0.000 0.000 0.000
Al: 0.491 0.491 0.491
Cr: 0.296 0.296 0.296
Cr: 0.801 0.801 0.801
S: 0.086 0.664 0.441
S: 0.204 0.564 0.898
S: 0.441 0.086 0.664
S: 0.564 0.898 0.204
S: 0.664 0.441 0.086
S: 0.898 0.204 0.564

***

Entry 3:
Material: Ho3Hg2Au3
Method: DFT, PBE
State: optimized geometry

Summary:
V   23.01 Å³/atom
E above lowest polymorph   0.000 eV/f.u.
E_form   -0.662 eV per atom
Total magnetic moment   0.00 μB/atom

abc: 10.404 10.404 10.404
angles: 159.44 152.22 34.81
Fractional coordinates of all 8 atoms:
Ho: 0.000 0.000 0.000
Ho: 0.369 0.869 0.500
Ho: 0.631 0.131 0.500
Hg: 0.239 0.239 0.000
Hg: 0.761 0.761 0.000
Au: 0.116 0.616 0.500
Au: 0.500 0.500 0.000
Au: 0.884 0.384 0.500

***

Entry 4:
Material: NiGeN2
Method: DFT, PBE
State: optimized geometry

Summary:
V   10.64 Å³/atom
Total DFT energy (no corrections)   -6.16 eV per atom
Total magnetic moment   0.00 μB/atom

abc: 5.978 5.978 5.978
angles: 28.34 28.34 28.34
Fractional coordinates of all 4 atoms:
Ni: 0.000 0.000 0.000
Ge: 0.500 0.500 0.500
N: 0.388 0.388 0.388
N: 0.612 0.612 0.612